The following is a DFT calculation (PBE-GGA) of a relaxed Y6HoAl2 crystal.

Computed properties:
Uncorrected energy in eV/cell: -52.45
Space-group type: C2/m (12)

abc: 3.670 6.550 11.626
angles: 75.57 80.92 73.73
Element x y z (fractional)
Y 0.977 0.717 0.329
Al 0.352 0.094 0.202
Y 0.687 0.502 0.124
Y 0.023 0.283 0.671
Y 0.689 0.211 0.411
Y 0.313 0.498 0.876
Al 0.648 0.906 0.798
Y 0.311 0.789 0.589
Ho 0.000 0.000 0.000

The following is a DFT calculation (PBE-GGA) of a relaxed KBa2MnCd crystal.

Computed properties:
Uncorrected energy in eV/cell: -13.22
Space-group type: P4/mmm (123)

abc: 6.823 5.316 6.823
angles: 90.00 90.00 90.00
Last column: magnetic moment on the atom in μB.
Element x y z (fractional)
Ba 0.000 0.000 0.500  -0.03
Ba 0.500 0.000 0.000  -0.04
K 0.500 0.500 0.500  0.00
Mn 0.000 0.500 0.000  4.11
Cd 0.000 0.000 0.000  -0.04

The following is a DFT calculation (PBE-GGA) of a relaxed TaP crystal.

Computed properties:
Uncorrected energy in eV/cell: -34.44
Space-group type: P4/nmm (129)

abc: 2.817 2.817 9.337
angles: 90.00 90.00 90.00
Element x y z (fractional)
Ta 0.500 0.000 0.125
Ta 0.000 0.500 0.875
P 0.000 0.500 0.326
P 0.500 0.000 0.674

The following is a DFT calculation (PBE-GGA) of a relaxed NaIn3Ge crystal.

Computed properties:
Uncorrected energy in eV/cell: -56.64
Energy above the most stable polymorph in this dataset in eV/f.u.: 0.04
Space-group type: Pnma (62)

abc: 4.531 9.152 13.241
angles: 90.00 90.00 90.00
Element x y z (fractional)
In 0.750 0.574 0.317
In 0.250 0.840 0.209
In 0.750 0.160 0.791
In 0.250 0.340 0.291
In 0.750 0.074 0.183
In 0.750 0.935 0.586
Ge 0.750 0.880 0.361
Na 0.750 0.321 0.510
In 0.250 0.565 0.086
Ge 0.250 0.120 0.639
In 0.750 0.660 0.709
In 0.250 0.426 0.683
In 0.250 0.065 0.414
Na 0.250 0.679 0.490
Ge 0.750 0.380 0.139
Na 0.750 0.821 0.990
Ge 0.250 0.620 0.861
In 0.750 0.435 0.914
Na 0.250 0.179 0.010
In 0.250 0.926 0.817

no.,spin magnetization (μB/cell),calculated volume (Å³ per cell)
1,0.000,259
2,4.174,247
3,0.000,74
4,0.000,549